The following is a DFT calculation (PBE) of a relaxed CuNiBMo crystal.

The space group is F-43m (No. 216) and the conventional cell measures 5.6868, 5.6868 and 5.6868 Å, with angles of 90.00, 90.00 and 90.00 degrees. Symmetry generates all atoms from Cu at (0.0000, 0.0000, 0.0000), Ni at (0.0000, 0.0000, 0.5000), B at (0.2500, 0.2500, 0.7500) and Mo at (0.2500, 0.2500, 0.2500).

Its final energy is -0.22213 Ha/atom. The total moment is 0.6 μB per formula unit. For the density, the calculation gives 8.270 Mg/m³.

---

The following is a DFT calculation (PBE) of a relaxed CuBMoOs crystal.

The space group is F-43m (No. 216) and the conventional cell measures 5.8625, 5.8625 and 5.8625 Å, with angles of 90.00, 90.00 and 90.00 degrees. Symmetry generates all atoms from Cu at (0.0000, 0.0000, 0.0000), B at (0.2500, 0.2500, 0.2500), Mo at (0.2500, 0.2500, 0.7500) and Os at (0.0000, 0.0000, 0.5000).

Its final energy is -0.27544 Ha/atom. The total moment is 0.0 μB per formula unit. For the density, the calculation gives 11.885 Mg/m³.

---

The following is a DFT calculation (PBE) of a relaxed CuBMoOs crystal.

The space group is F-43m (No. 216) and the conventional cell measures 5.7561, 5.7561 and 5.7561 Å, with angles of 90.00, 90.00 and 90.00 degrees. Symmetry generates all atoms from Cu at (0.0000, 0.0000, 0.0000), B at (0.0000, 0.0000, 0.5000), Mo at (0.2500, 0.2500, 0.7500) and Os at (0.2500, 0.2500, 0.2500).

Its final energy is -0.28179 Ha/atom. The total moment is 0.0 μB per formula unit. For the density, the calculation gives 12.556 Mg/m³.

---

The following is a DFT calculation (PBE) of a relaxed CuBMoW crystal.

The space group is F-43m (No. 216) and the conventional cell measures 5.9649, 5.9649 and 5.9649 Å, with angles of 90.00, 90.00 and 90.00 degrees. Symmetry generates all atoms from Cu at (0.0000, 0.0000, 0.0000), B at (0.2500, 0.2500, 0.7500), Mo at (0.0000, 0.0000, 0.5000) and W at (0.2500, 0.2500, 0.2500).

Its final energy is -0.28424 Ha/atom. The total moment is 0.0 μB per formula unit. For the density, the calculation gives 11.083 Mg/m³.

---

The following is a DFT calculation (PBE) of a relaxed YCuBMo crystal.

The space group is F-43m (No. 216) and the conventional cell measures 6.2165, 6.2165 and 6.2165 Å, with angles of 90.00, 90.00 and 90.00 degrees. Symmetry generates all atoms from Y at (0.0000, 0.0000, 0.0000), Cu at (0.2500, 0.2500, 0.7500), B at (0.0000, 0.0000, 0.5000) and Mo at (0.2500, 0.2500, 0.2500).

Its final energy is -0.21877 Ha/atom. The total moment is 0.4 μB per formula unit. For the density, the calculation gives 7.167 Mg/m³.

---

The following is a DFT calculation (PBE) of a relaxed YCuBMo crystal.

The space group is F-43m (No. 216) and the conventional cell measures 6.3458, 6.3458 and 6.3458 Å, with angles of 90.00, 90.00 and 90.00 degrees. Symmetry generates all atoms from Y at (0.0000, 0.0000, 0.0000), Cu at (0.0000, 0.0000, 0.5000), B at (0.2500, 0.2500, 0.2500) and Mo at (0.2500, 0.2500, 0.7500).

Its final energy is -0.21358 Ha/atom. The total moment is 2.0 μB per formula unit. For the density, the calculation gives 6.737 Mg/m³.

---

The following is a DFT calculation (PBE) of a relaxed ZnCuBMo crystal.

The space group is F-43m (No. 216) and the conventional cell measures 5.8581, 5.8581 and 5.8581 Å, with angles of 90.00, 90.00 and 90.00 degrees. Symmetry generates all atoms from Zn at (0.0000, 0.0000, 0.0000), Cu at (0.0000, 0.0000, 0.5000), B at (0.2500, 0.2500, 0.2500) and Mo at (0.2500, 0.2500, 0.7500).

Its final energy is -0.16945 Ha/atom. The total moment is 1.6 μB per formula unit. For the density, the calculation gives 7.788 Mg/m³.

---

The following is a DFT calculation (PBE) of a relaxed ZnCuBMo crystal.

The space group is F-43m (No. 216) and the conventional cell measures 5.7649, 5.7649 and 5.7649 Å, with angles of 90.00, 90.00 and 90.00 degrees. Symmetry generates all atoms from Zn at (0.0000, 0.0000, 0.0000), Cu at (0.2500, 0.2500, 0.7500), B at (0.0000, 0.0000, 0.5000) and Mo at (0.2500, 0.2500, 0.2500).

Its final energy is -0.18529 Ha/atom. The total moment is 0.8 μB per formula unit. For the density, the calculation gives 8.172 Mg/m³.